This record from Alexandria describes a geometry-optimized KFeTc2 structure. The functional is GGA-PBE.

The structure belongs to space group P4mm (No. 99); the cell edges are 3.024, 3.024 and 8.712 Å and the angles 90.00°, 90.00° and 90.00°. Symmetry generates all atoms from K at (0.000, 0.000, 0.000), Fe at (0.500, 0.500, 0.668), Tc at (0.000, 0.000, 0.492) and Tc at (0.500, 0.500, 0.331).

For the total magnetic moment, the calculation gives 3.7 μB/f.u. The value obtained for the formation energy is 0.769 eV/atom.